# SrMnAu3 GGA-PBE optimized geometry
# N(E_F)	0.512	states/eV/atom
# SG	Pm-3m, No. 221
# energy relative to the lowest polymorph listed for this composition	0	meV per atom
# final energy	-21.541	eV per cell
data_SrMnAu3
_symmetry_space_group_name_H-M 'P 1'
_symmetry_Int_Tables_number 1
_cell_length_a 5.0384
_cell_length_b 5.0384
_cell_length_c 5.0384
_cell_angle_alpha 90.00
_cell_angle_beta 90.00
_cell_angle_gamma 90.00
loop_
_symmetry_equiv_pos_as_xyz
'x,y,z'
loop_
_atom_site_label
_atom_site_type_symbol
_atom_site_fract_x
_atom_site_fract_y
_atom_site_fract_z
_atom_site_occupancy
Sr1 Sr 0.0000 0.0000 0.0000 1
Mn1 Mn 0.5000 0.5000 0.5000 1
Au1 Au 0.0000 0.5000 0.5000 1
Au2 Au 0.5000 0.0000 0.5000 1
Au3 Au 0.5000 0.5000 0.0000 1